Crystalline BaMnO2 at its relaxed geometry. Source: Alexandria via LeMat-Bulk, functional PBE with a Hubbard U.

abc: 6.8292 6.8292 6.8292
angles: 34.32 34.32 34.32
Last column: nearest neighbours and their distance in Å.
Positions (direct):
Mn 0.0000 0.0000 0.0000  2 O 1.85
Ba 0.5000 0.5000 0.5000  6 O 2.70
O 0.0960 0.0960 0.0960  1 Mn 1.85
O 0.9040 0.9040 0.9040  1 Mn 1.85

Results
E_tot: -0.48994 Ry/atom
Spin magnetization: 5.00 Bohr magnetons per cell